Compound: Na8Hg2H
Source: Alexandria via LeMat-Bulk
Functional: PBE
Structure: relaxed

```
Na8Hg2H
1.0
9.1056 -2.3838 0.0000
9.1056 2.3838 0.0000
-0.5129 0.0000 7.2047
Na Hg H
8 2 1
Direct
0.0008 0.0008 0.2715
0.2128 0.2128 0.8061
0.3740 0.3740 0.4866
0.3963 0.3963 0.9842
0.6037 0.6037 0.0158
0.6260 0.6260 0.5134
0.7872 0.7872 0.1939
0.9992 0.9992 0.7285
0.1804 0.1804 0.2619
0.8196 0.8196 0.7381
0.5000 0.5000 0.5000
```

Summary:
Crystal system: monoclinic
Size of the total moment: 0.00 μB/atom
E: -1.39 eV/atom
DOS at the Fermi energy: 3.63 states/eV/cell
Symmetry: C2/m (12)

=====

Compound: AlCr2CoH
Source: Alexandria via LeMat-Bulk
Functional: PBE
Structure: relaxed

```
AlCr2CoH
1.0
3.5090 0.0000 0.0000
0.0000 3.5090 0.0000
0.0000 0.0000 4.0478
Al Cr Co H
1 2 1 1
Direct
0.0000 0.0000 0.0000
0.0000 0.5000 0.5000
0.5000 0.0000 0.5000
0.5000 0.5000 0.0000
0.5000 0.5000 0.5000
```

Summary:
Crystal system: tetragonal
Size of the total moment: 0.00 μB/atom
E: -6.73 eV/atom
DOS at the Fermi energy: 4.85 states/eV/cell
Symmetry: P4/mmm (123)

=====

Compound: LiHfAs2
Source: Alexandria via LeMat-Bulk
Functional: PBE
Structure: relaxed

```
LiHfAs2
1.0
-3.4975 3.4975 3.1160
3.4975 -3.4975 3.1160
3.4975 3.4975 -3.1160
Li Hf As
2 2 4
Direct
0.0000 0.0000 0.0000
0.7500 0.2500 0.5000
0.2500 0.7500 0.5000
0.5000 0.5000 0.0000
0.1114 0.1250 0.4864
0.3750 0.8886 0.0136
0.6386 0.6250 0.5136
0.8750 0.3614 0.9864
```

Summary:
Crystal system: tetragonal
Excess energy over the best structure of this formula in the dataset: 249 meV per atom
Size of the total moment: 0.00 μB/atom
DOS at the Fermi energy: 2.81 states/eV/cell
Symmetry: I-42d (122)
Formation energy from the elements: -0.457 eV per atom

=====

Compound: Li2MoRh
Source: Alexandria via LeMat-Bulk
Functional: PBE
Structure: relaxed

```
Li2MoRh
1.0
4.8857 -1.3770 0.0000
4.8857 1.3770 0.0000
-1.0811 0.0000 4.3448
Li Mo Rh
2 1 1
Direct
0.2404 0.2404 0.2391
0.7596 0.7596 0.7609
0.0000 0.0000 0.5000
0.5000 0.5000 0.0000
```

Summary:
Crystal system: monoclinic
Excess energy over the best structure of this formula in the dataset: 98 meV per atom
Size of the total moment: 0.00 μB/atom
DOS at the Fermi energy: 5.05 states/eV/cell
Symmetry: C2/m (12)
Formation energy from the elements: 0.138 eV per atom